[1]
{"formula": "LiSn6Pd2", "functional": "GGA-PBE", "state": "relaxed", "total_magnetization_mub_per_fu": 0.00, "dft_energy_ev_per_atom": -4.3720, "formation_energy_kcal_per_mol_atoms": -7.8, "lattice": [[-5.2001, 3.6339, 2.2440], [-2.0778, -5.2415, 3.6731], [4.8588, 2.7939, 6.7353]], "species": ["Li", "Li", "Sn", "Sn", "Sn", "Sn", "Sn", "Sn", "Sn", "Sn", "Sn", "Sn", "Sn", "Sn", "Pd", "Pd", "Pd", "Pd"], "fractional_positions": [[0.0000, 0.0000, 0.5000], [0.5000, 0.5000, 0.5000], [0.8375, 0.3375, 0.0000], [0.6592, 0.1592, 0.3206], [0.3408, 0.8408, 0.3206], [0.1592, 0.3408, 0.6794], [0.1592, 0.3408, 0.3206], [0.3408, 0.8408, 0.6794], [0.6625, 0.8375, 0.0000], [0.1625, 0.6625, 0.0000], [0.3375, 0.1625, 0.0000], [0.6592, 0.1592, 0.6794], [0.8408, 0.6592, 0.3206], [0.8408, 0.6592, 0.6794], [0.5000, 0.5000, 0.1795], [0.5000, 0.5000, 0.8205], [0.0000, 0.0000, 0.1795], [0.0000, 0.0000, 0.8205]]}


[2]
{"formula": "LiSn2Pd4", "functional": "GGA-PBE", "state": "relaxed", "total_magnetization_mub_per_fu": 0.00, "dft_energy_ev_per_atom": -4.8334, "formation_energy_kcal_per_mol_atoms": -10.4, "lattice": [[7.0591, 0.5132, -0.1078], [-0.0522, 7.0768, -0.0061], [-3.3535, -3.8483, 4.9103]], "species": ["Li", "Li", "Sn", "Sn", "Sn", "Sn", "Pd", "Pd", "Pd", "Pd", "Pd", "Pd", "Pd", "Pd"], "fractional_positions": [[0.1038, 0.6040, 0.5016], [0.1469, 0.1472, 0.9998], [0.4773, 0.3749, 0.6018], [0.7734, 0.8755, 0.3983], [0.6244, 0.3116, 0.1859], [0.1258, 0.4387, 0.8141], [0.0029, 0.1441, 0.2809], [0.3892, 0.6078, 0.3613], [0.8622, 0.7218, 0.7194], [0.7029, 0.1274, 0.7939], [0.3332, 0.9089, 0.2049], [0.2459, 0.0273, 0.6379], [0.5456, 0.8411, 0.9248], [0.9165, 0.6195, 0.0755]]}


[3]
{"formula": "Li4SnPd5", "functional": "GGA-PBE", "state": "relaxed", "total_magnetization_mub_per_fu": 0.00, "dft_energy_ev_per_atom": -4.0423, "formation_energy_kcal_per_mol_atoms": -6.5, "lattice": [[-1.3070, 3.6123, 3.3696], [-5.9635, 0.4058, 1.1264], [-0.1248, -1.8382, 5.7967]], "species": ["Li", "Li", "Li", "Li", "Sn", "Pd", "Pd", "Pd", "Pd", "Pd"], "fractional_positions": [[0.3313, 0.3897, 0.8789], [0.7210, 0.8789, 0.6103], [0.2102, 0.1211, 0.3897], [0.5999, 0.6103, 0.1211], [0.1531, 0.0000, 0.0000], [0.9009, 0.3880, 0.7261], [0.2889, 0.7261, 0.6120], [0.6270, 0.2739, 0.3880], [0.0150, 0.6120, 0.2739], [0.6630, 0.0000, 0.0000]]}


[4]
{"formula": "LiSnPd", "functional": "GGA-PBE", "state": "relaxed", "total_magnetization_mub_per_fu": 0.00, "dft_energy_ev_per_atom": -4.2598, "formation_energy_kcal_per_mol_atoms": -12.8, "lattice": [[-2.8387, -0.8661, -1.7250], [1.9301, -1.2404, -2.5535], [0.4805, -2.7944, 4.0280]], "species": ["Sn", "Pd", "Li"], "fractional_positions": [[0.2868, 0.2868, 0.5737], [0.9536, 0.9536, 0.9072], [0.6095, 0.6095, 0.2191]]}


[5]
{"formula": "LiSn6Pd12", "functional": "GGA-PBE", "state": "relaxed", "total_magnetization_mub_per_fu": 0.00, "dft_energy_ev_per_atom": -5.1218, "formation_energy_kcal_per_mol_atoms": -11.0, "lattice": [[7.3692, -0.5942, -0.7118], [-1.7045, 7.1939, -0.7118], [-1.7045, -1.9859, 6.9509]], "species": ["Li", "Sn", "Sn", "Sn", "Sn", "Sn", "Sn", "Pd", "Pd", "Pd", "Pd", "Pd", "Pd", "Pd", "Pd", "Pd", "Pd", "Pd", "Pd"], "fractional_positions": [[0.0000, 0.0000, 0.0000], [0.7874, 0.9106, 0.5379], [0.4621, 0.2126, 0.0894], [0.0894, 0.4621, 0.2126], [0.2126, 0.0894, 0.4621], [0.5379, 0.7874, 0.9106], [0.9106, 0.5379, 0.7874], [0.8155, 0.5161, 0.3982], [0.3982, 0.8155, 0.5161], [0.5161, 0.3982, 0.8155], [0.1845, 0.4839, 0.6018], [0.6018, 0.1845, 0.4839], [0.4839, 0.6018, 0.1845], [0.8893, 0.7254, 0.1562], [0.2746, 0.8438, 0.1107], [0.8438, 0.1107, 0.2746], [0.1107, 0.2746, 0.8438], [0.7254, 0.1562, 0.8893], [0.1562, 0.8893, 0.7254]]}


[6]
{"formula": "Li6SnPd", "functional": "GGA-PBE", "state": "relaxed", "total_magnetization_mub_per_fu": 0.00, "dft_energy_ev_per_atom": -2.8813, "formation_energy_kcal_per_mol_atoms": -6.8, "lattice": [[4.5389, 0.0000, 0.0000], [0.0000, 5.5262, 0.3414], [0.0000, -2.1405, 5.1062]], "species": ["Li", "Li", "Li", "Li", "Li", "Li", "Sn", "Pd"], "fractional_positions": [[0.0000, 0.1186, 0.3554], [0.0000, 0.6446, 0.8814], [0.0000, 0.6071, 0.3929], [0.5000, 0.3516, 0.1188], [0.5000, 0.8812, 0.6484], [0.5000, 0.8824, 0.1176], [0.5000, 0.3660, 0.6340], [0.0000, 0.1482, 0.8518]]}


[7]
{"formula": "Li5SnPd2", "functional": "GGA-PBE", "state": "relaxed", "total_magnetization_mub_per_fu": 0.00, "dft_energy_ev_per_atom": -3.3976, "formation_energy_kcal_per_mol_atoms": -9.3, "lattice": [[-1.2651, -3.0325, 2.0265], [5.3191, -1.9299, 0.4326], [1.3589, 5.9221, 9.7106]], "species": ["Li", "Li", "Li", "Li", "Li", "Li", "Li", "Li", "Li", "Li", "Sn", "Sn", "Pd", "Pd", "Pd", "Pd"], "fractional_positions": [[0.0000, 0.0000, 0.0000], [0.0000, 0.5000, 0.5000], [0.0000, 0.4911, 0.7496], [0.0000, 0.5089, 0.2504], [0.0000, 0.0089, 0.2496], [0.0000, 0.9911, 0.7504], [0.5000, 0.2363, 0.8692], [0.5000, 0.7637, 0.1308], [0.5000, 0.2637, 0.3692], [0.5000, 0.7363, 0.6308], [0.0000, 0.0000, 0.5000], [0.0000, 0.5000, 0.0000], [0.5000, 0.2417, 0.6243], [0.5000, 0.7583, 0.3757], [0.5000, 0.2583, 0.1243], [0.5000, 0.7417, 0.8757]]}


[8]
{"formula": "Li2SnPd5", "functional": "GGA-PBE", "state": "relaxed", "total_magnetization_mub_per_fu": 0.00, "dft_energy_ev_per_atom": -4.7101, "formation_energy_kcal_per_mol_atoms": -11.2, "lattice": [[0.1863, -0.8459, -5.3732], [-0.5345, -4.5609, 2.9215], [-4.3623, 3.0949, 1.0071]], "species": ["Li", "Li", "Sn", "Pd", "Pd", "Pd", "Pd", "Pd"], "fractional_positions": [[0.2776, 0.7778, 0.5001], [0.7776, 0.2778, 0.4999], [0.7786, 0.7784, 0.0000], [0.2780, 0.2783, 0.5005], [0.2783, 0.7775, 0.0000], [0.7778, 0.2781, 0.0000], [0.7775, 0.7778, 0.4995], [0.2776, 0.2773, 0.0000]]}


[9]
{"formula": "Li2SnPd4", "functional": "GGA-PBE", "state": "relaxed", "total_magnetization_mub_per_fu": 0.00, "dft_energy_ev_per_atom": -4.4830, "formation_energy_kcal_per_mol_atoms": -9.2, "lattice": [[4.3328, 0.0000, 0.0000], [2.1664, 3.7523, 0.0000], [2.1664, 1.2508, 6.7286]], "species": ["Li", "Li", "Sn", "Pd", "Pd", "Pd", "Pd"], "fractional_positions": [[0.7471, 0.7471, 0.7588], [0.2529, 0.2529, 0.2412], [0.0000, 0.0000, 0.0000], [0.8681, 0.8681, 0.3958], [0.1319, 0.1319, 0.6042], [0.6121, 0.6121, 0.1636], [0.3879, 0.3879, 0.8364]]}


[10]
{"formula": "LiSnPd4", "functional": "GGA-PBE", "state": "relaxed", "total_magnetization_mub_per_fu": 0.00, "dft_energy_ev_per_atom": -4.7108, "formation_energy_kcal_per_mol_atoms": -6.1, "lattice": [[5.2986, 0.0000, 0.0000], [2.6493, 4.5887, 0.0000], [2.6493, 1.5296, 4.3263]], "species": ["Sn", "Pd", "Pd", "Pd", "Pd", "Li"], "fractional_positions": [[0.2500, 0.2500, 0.2500], [0.6249, 0.6249, 0.1252], [0.6249, 0.1252, 0.6249], [0.6249, 0.6249, 0.6249], [0.1252, 0.6249, 0.6249], [0.0000, 0.0000, 0.0000]]}


[11]
{"formula": "Li2SnPd7", "functional": "GGA-PBE", "state": "relaxed", "total_magnetization_mub_per_fu": 0.00, "dft_energy_ev_per_atom": -4.2938, "formation_energy_kcal_per_mol_atoms": 2.9, "lattice": [[4.2286, 0.0000, 0.0000], [0.0000, 6.8176, 0.1159], [0.0000, -2.9723, 6.1366]], "species": ["Li", "Li", "Sn", "Pd", "Pd", "Pd", "Pd", "Pd", "Pd", "Pd"], "fractional_positions": [[0.5000, 0.6966, 0.3034], [0.5000, 0.3034, 0.6966], [0.0000, 0.0000, 0.0000], [0.0000, 0.7655, 0.2345], [0.0000, 0.2345, 0.7655], [0.5000, 0.0678, 0.3097], [0.5000, 0.9322, 0.6903], [0.5000, 0.3097, 0.0678], [0.5000, 0.6903, 0.9322], [0.5000, 0.5000, 0.5000]]}


[12]
{"formula": "Li4Sn3Pd4", "functional": "GGA-PBE", "state": "relaxed", "total_magnetization_mub_per_fu": 0.00, "dft_energy_ev_per_atom": -4.1391, "formation_energy_kcal_per_mol_atoms": -10.7, "lattice": [[-0.6398, -2.9258, 0.2629], [2.7403, -0.3001, 3.2834], [-9.9201, -0.0023, 11.1138]], "species": ["Li", "Li", "Li", "Li", "Sn", "Sn", "Sn", "Pd", "Pd", "Pd", "Pd"], "fractional_positions": [[0.4496, 0.0892, 0.8258], [0.3028, 0.2625, 0.4725], [0.7427, 0.7357, 0.5274], [0.5831, 0.9052, 0.1883], [0.0686, 0.6468, 0.7060], [0.9796, 0.3549, 0.2889], [0.7698, 0.9980, 0.0058], [0.8802, 0.5552, 0.8932], [0.1840, 0.4552, 0.0893], [0.4000, 0.8160, 0.3661], [0.6396, 0.1815, 0.6366]]}


[13]
{"formula": "LiSn2Pd6", "functional": "GGA-PBE", "state": "relaxed", "total_magnetization_mub_per_fu": 0.00, "dft_energy_ev_per_atom": -4.9214, "formation_energy_kcal_per_mol_atoms": -8.2, "lattice": [[-1.2049, 5.0180, 3.2544], [-3.7219, 1.5808, -3.8154], [-6.6610, -3.1295, 5.2012]], "species": ["Li", "Li", "Sn", "Sn", "Sn", "Sn", "Pd", "Pd", "Pd", "Pd", "Pd", "Pd", "Pd", "Pd", "Pd", "Pd", "Pd", "Pd"], "fractional_positions": [[0.5000, 0.5000, 0.0000], [0.0000, 0.0000, 0.5000], [0.9610, 0.5537, 0.7479], [0.5390, 0.0537, 0.7521], [0.4610, 0.9463, 0.2479], [0.0390, 0.4463, 0.2521], [0.9200, 0.9646, 0.2333], [0.6451, 0.8082, 0.4949], [0.7108, 0.8512, 0.9724], [0.7892, 0.3512, 0.5276], [0.8549, 0.3082, 0.0051], [0.5800, 0.4646, 0.2667], [0.0800, 0.0354, 0.7667], [0.3549, 0.1918, 0.5051], [0.2892, 0.1488, 0.0276], [0.2108, 0.6488, 0.4724], [0.1451, 0.6918, 0.9949], [0.4200, 0.5354, 0.7333]]}


[14]
{"formula": "Li3Sn2Pd4", "functional": "GGA-PBE", "state": "relaxed", "total_magnetization_mub_per_fu": 0.00, "dft_energy_ev_per_atom": -4.4391, "formation_energy_kcal_per_mol_atoms": -13.9, "lattice": [[4.4589, 0.0000, 0.0000], [-2.2295, 3.8619, 0.1174], [0.0000, -0.2428, 8.3188]], "species": ["Li", "Li", "Li", "Sn", "Sn", "Pd", "Pd", "Pd", "Pd"], "fractional_positions": [[0.3336, 0.6672, 0.5638], [0.0000, 0.0000, 0.0000], [0.6664, 0.3328, 0.4362], [0.3330, 0.6660, 0.2231], [0.6670, 0.3340, 0.7769], [0.6665, 0.3329, 0.1064], [0.0004, 0.0008, 0.6731], [0.9996, 0.9992, 0.3269], [0.3335, 0.6671, 0.8936]]}


[15]
{"formula": "LiSn6Pd6", "functional": "GGA-PBE", "state": "relaxed", "total_magnetization_mub_per_fu": 0.00, "dft_energy_ev_per_atom": -4.8784, "formation_energy_kcal_per_mol_atoms": -11.2, "lattice": [[-2.6371, 4.8713, -1.4573], [-3.0786, -4.6962, 1.1294], [-0.4197, 2.3347, 8.5635]], "species": ["Li", "Sn", "Sn", "Sn", "Sn", "Sn", "Sn", "Pd", "Pd", "Pd", "Pd", "Pd", "Pd"], "fractional_positions": [[0.0000, 0.0000, 0.0000], [0.0000, 0.0000, 0.6677], [0.0000, 0.0000, 0.3323], [0.3333, 0.6667, 0.0000], [0.6667, 0.3333, 0.0000], [0.3333, 0.6667, 0.5000], [0.6667, 0.3333, 0.5000], [0.0000, 0.5000, 0.7506], [0.5000, 0.0000, 0.7506], [0.5000, 0.5000, 0.7506], [0.5000, 0.0000, 0.2494], [0.0000, 0.5000, 0.2494], [0.5000, 0.5000, 0.2494]]}


[16]
{"formula": "LiSnPd2", "functional": "GGA-PBE", "state": "relaxed", "total_magnetization_mub_per_fu": 0.00, "dft_energy_ev_per_atom": -4.5657, "formation_energy_kcal_per_mol_atoms": -11.3, "lattice": [[3.3084, 0.0000, 0.0000], [0.0000, 3.3084, 0.0000], [0.0000, 0.0000, 5.9499]], "species": ["Sn", "Pd", "Pd", "Li"], "fractional_positions": [[0.5000, 0.5000, 0.5000], [0.0000, 0.0000, 0.7560], [0.0000, 0.0000, 0.2440], [0.5000, 0.5000, 0.0000]]}


[17]
{"formula": "Li2Sn5Pd", "functional": "GGA-PBE", "state": "relaxed", "total_magnetization_mub_per_fu": 0.00, "dft_energy_ev_per_atom": -3.8714, "formation_energy_kcal_per_mol_atoms": -5.6, "lattice": [[-0.8829, 3.7153, 2.1384], [-3.9856, -3.1911, -0.5802], [4.0998, -7.9349, 15.4789]], "species": ["Li", "Li", "Li", "Li", "Sn", "Sn", "Sn", "Sn", "Sn", "Sn", "Sn", "Sn", "Sn", "Sn", "Pd", "Pd"], "fractional_positions": [[0.7357, 0.4715, 0.3323], [0.7357, 0.4715, 0.1677], [0.2643, 0.5285, 0.6677], [0.2643, 0.5285, 0.8323], [0.9658, 0.9316, 0.8916], [0.9658, 0.9316, 0.6084], [0.3448, 0.6895, 0.4579], [0.3448, 0.6895, 0.0421], [0.4374, 0.8747, 0.2500], [0.5626, 0.1253, 0.7500], [0.6552, 0.3105, 0.5421], [0.6552, 0.3105, 0.9579], [0.0342, 0.0684, 0.1084], [0.0342, 0.0684, 0.3916], [0.8646, 0.7292, 0.7500], [0.1354, 0.2708, 0.2500]]}


[18]
{"formula": "Li2Sn2Pd5", "functional": "GGA-PBE", "state": "relaxed", "total_magnetization_mub_per_fu": 0.00, "dft_energy_ev_per_atom": -4.5992, "formation_energy_kcal_per_mol_atoms": -9.2, "lattice": [[6.4829, 0.0000, 0.0000], [0.0000, 5.7707, 0.0000], [-3.2414, -2.8854, 7.7853]], "species": ["Li", "Li", "Li", "Li", "Sn", "Sn", "Sn", "Sn", "Pd", "Pd", "Pd", "Pd", "Pd", "Pd", "Pd", "Pd", "Pd", "Pd"], "fractional_positions": [[0.1353, 0.6023, 0.1232], [0.8647, 0.4791, 0.8768], [0.4880, 0.1023, 0.1232], [0.5120, 0.9791, 0.8768], [0.0000, 0.0392, 0.0000], [0.5000, 0.5392, 0.0000], [0.2117, 0.2801, 0.5000], [0.7883, 0.7801, 0.5000], [0.1458, 0.6834, 0.7885], [0.8542, 0.8949, 0.2115], [0.1427, 0.1834, 0.7885], [0.8573, 0.3949, 0.2115], [0.4157, 0.9418, 0.3178], [0.5843, 0.6240, 0.6822], [0.4021, 0.4418, 0.3178], [0.5979, 0.1240, 0.6822], [0.1923, 0.7911, 0.5000], [0.8077, 0.2911, 0.5000]]}


[19]
{"formula": "LiSn4Pd2", "functional": "GGA-PBE", "state": "relaxed", "total_magnetization_mub_per_fu": 0.00, "dft_energy_ev_per_atom": -4.4357, "formation_energy_kcal_per_mol_atoms": -9.0, "lattice": [[-0.7549, -2.6662, 3.4957], [-1.9832, -3.9510, -0.5956], [7.1779, -6.0842, -0.2442]], "species": ["Li", "Sn", "Sn", "Sn", "Sn", "Pd", "Pd"], "fractional_positions": [[0.0000, 0.0000, 0.0000], [0.3871, 0.3871, 0.8388], [0.2037, 0.2037, 0.3889], [0.7963, 0.7963, 0.6111], [0.6129, 0.6129, 0.1612], [0.0982, 0.0982, 0.7053], [0.9018, 0.9018, 0.2947]]}


[20]
{"formula": "Li4Sn5Pd", "functional": "GGA-PBE", "state": "relaxed", "total_magnetization_mub_per_fu": 0.00, "dft_energy_ev_per_atom": -3.6282, "formation_energy_kcal_per_mol_atoms": -7.9, "lattice": [[-0.6594, 1.6469, -2.8541], [2.0360, -2.0851, -1.6735], [-13.8711, -11.0151, -3.1513]], "species": ["Li", "Li", "Li", "Li", "Sn", "Sn", "Sn", "Sn", "Sn", "Pd"], "fractional_positions": [[0.0000, 0.0000, 0.1971], [0.0000, 0.0000, 0.4009], [0.0000, 0.0000, 0.5991], [0.0000, 0.0000, 0.8029], [0.5000, 0.5000, 0.0916], [0.5000, 0.5000, 0.3000], [0.5000, 0.5000, 0.5000], [0.5000, 0.5000, 0.7000], [0.5000, 0.5000, 0.9084], [0.0000, 0.0000, 0.0000]]}